Record 1
Computed, not measured: an optimized crystal structure of RbThInBr6 at the GGA-PBE level of DFT.

Unit cell a=8.188 b=8.188 c=14.092 alpha=90.00 beta=90.00 gamma=120.00
Element x y z (fractional)
Rb  0.000  0.000  0.000
Rb  0.000  0.000  0.500
Th  0.667  0.333  0.250
Th  0.333  0.667  0.750
In  0.333  0.667  0.250
In  0.667  0.333  0.750
Br  0.656  0.615  0.134
Br  0.958  0.344  0.134
Br  0.344  0.958  0.634
Br  0.042  0.656  0.866
Br  0.385  0.344  0.366
Br  0.958  0.615  0.366
Br  0.615  0.958  0.866
Br  0.656  0.042  0.366
Br  0.042  0.385  0.634
Br  0.385  0.042  0.134
Br  0.615  0.656  0.634
Br  0.344  0.385  0.866

Record 2
Computed, not measured: an optimized crystal structure of Rb2TiInBr6 at the GGA-PBE level of DFT.

Unit cell a=8.086 b=8.086 c=8.085 alpha=59.99 beta=59.99 gamma=90.00
Site moments in Bohr magnetons follow the coordinates.
Element x y z (fractional)
Ti  0.500  0.500  0.000  0.91
Br  0.273  0.273  0.455  -0.01
Br  0.727  0.727  0.545  -0.01
Br  0.273  0.273  0.000  -0.01
Br  0.727  0.727  0.000  -0.01
Br  0.727  0.273  0.000  -0.01
Br  0.273  0.727  0.000  -0.01
Rb  0.750  0.250  0.500  0.00
Rb  0.250  0.750  0.500  0.00
In  0.000  0.000  0.000  -0.01

Record 3
Computed, not measured: an optimized crystal structure of RbTi2InBr8 at the GGA-PBE level of DFT.

Unit cell a=7.192 b=7.192 c=10.999 alpha=90.00 beta=90.00 gamma=120.00
Site moments in Bohr magnetons follow the coordinates.
Element x y z (fractional)
Rb  0.000  0.000  0.000  0.00
Ti  0.667  0.333  0.228  0.91
Ti  0.333  0.667  0.772  0.91
In  0.000  0.000  0.500  0.01
Br  0.333  0.667  0.992  -0.01
Br  0.340  0.326  0.294  -0.01
Br  0.674  0.014  0.294  -0.01
Br  0.667  0.333  0.008  -0.01
Br  0.326  0.986  0.706  -0.01
Br  0.660  0.674  0.706  -0.01
Br  0.014  0.340  0.706  -0.01
Br  0.986  0.660  0.294  -0.01

Record 4
Computed, not measured: an optimized crystal structure of RbTiInBr6 at the GGA-PBE level of DFT.

Unit cell a=7.880 b=7.880 c=6.506 alpha=90.00 beta=90.01 gamma=59.76
Element x y z (fractional)
Rb  0.666  0.666  0.500
Ti  0.333  0.333  0.500
In  0.999  0.999  0.000
Br  0.079  0.322  0.270
Br  0.322  0.079  0.730
Br  0.600  0.322  0.730
Br  0.077  0.602  0.729
Br  0.321  0.601  0.270
Br  0.602  0.077  0.271

| no. | formation energy from raw total energies (eV per atom) |
| --- | --- |
| 1 | -1.5408 |
| 2 | -1.2881 |
| 3 | -1.1398 |
| 4 | -1.1497 |